(1)
Below is an optimized crystal structure of RhS4O, with properties calculated at the PBE level.

- Uncorrected energy: -5.07 eV per atom
- Density of states at the Fermi level: 0.18 states/eV per cell
- SG: P-1, No. 2
- Formation energy (no corrections): -1.60 eV per formula unit
- Size of the total moment: 0.0 Bohr magnetons per cell

Cell lengths 3.656, 12.511, 8.893 Å; angles 48.16, 80.74, 82.27 degrees
Fractional coordinates of all 12 atoms:
Rh1 0.500 0.500 0.500
Rh2 0.000 0.000 0.500
S1 0.135 0.565 0.689
S2 0.244 0.229 0.297
S3 0.865 0.435 0.311
S4 0.756 0.771 0.703
S5 0.436 0.083 0.575
S6 0.959 0.658 0.404
S7 0.564 0.917 0.425
S8 0.041 0.342 0.596
O1 0.910 0.443 0.866
O2 0.090 0.557 0.134

(2)
Below is an optimized crystal structure of KInPb2, with properties calculated at the PBE level.

- Formation energy from the elements: -0.075 eV/atom
- Uncorrected energy: -2.89 eV per atom
- Density of states at the Fermi level: 1.29 states/eV per cell
- SG: C2/m, No. 12
- Size of the total moment: 0.0 Bohr magnetons per cell

Cell lengths 5.766, 5.766, 7.069 Å; angles 83.74, 83.74, 35.95 degrees
Fractional coordinates of all 4 atoms:
Pb1 0.002 0.002 0.942
Pb2 0.498 0.498 0.558
K1 0.250 0.250 0.250
In1 0.750 0.750 0.750

(3)
Below is an optimized crystal structure of SbTe2Cl, with properties calculated at the PBE level.

- Uncorrected energy: -2.97 eV per atom
- Density of states at the Fermi level: 2.94 states/eV per cell
- SG: I4/mmm, No. 139
- Formation energy (no corrections): 0.38 eV per formula unit
- Size of the total moment: 0.0 Bohr magnetons per cell

Cell lengths 5.649, 5.649, 5.649 Å; angles 129.28, 129.28, 74.56 degrees
Fractional coordinates of all 4 atoms:
Cl1 0.250 0.750 0.500
Sb1 0.750 0.250 0.500
Te1 0.000 0.000 0.000
Te2 0.500 0.500 0.000